No. 1
CaHfTc PBE relaxed; offset from the most stable computed form = 0.35 eV/f.u.; crystal system = orthorhombic; electronic total energy = -7.40 eV per atom; space group = Cmcm, No. 63; energy relative to the elements = 0.0386 eV per atom
1.0
3.309 0.000 0.000
0.000 21.501 0.000
0.000 0.000 4.336
Ca Hf Tc
4 4 4
direct
0.000 0.682 0.250 Ca
0.000 0.318 0.750 Ca
0.500 0.182 0.250 Ca
0.500 0.818 0.750 Ca
0.000 0.943 0.250 Hf
0.000 0.057 0.750 Hf
0.500 0.443 0.250 Hf
0.500 0.557 0.750 Hf
0.000 0.551 0.250 Tc
0.000 0.449 0.750 Tc
0.500 0.051 0.250 Tc
0.500 0.949 0.750 Tc

No. 2
Fe2Cu3 PBE relaxed; offset from the most stable computed form = 0.00 eV/f.u.; crystal system = trigonal; electronic total energy = -5.71 eV per atom; space group = R-3m, No. 166; energy relative to the elements = 0.1295 eV per atom
1.0
10.697 -1.265 0.010
10.697 1.265 0.010
10.545 0.000 2.195
Fe Cu
2 3
direct
0.600 0.600 0.600 Fe
0.400 0.400 0.400 Fe
0.000 0.000 0.000 Cu
0.800 0.800 0.800 Cu
0.200 0.200 0.200 Cu

No. 3
TcOs2 PBE relaxed; offset from the most stable computed form = 0.47 eV/f.u.; crystal system = orthorhombic; electronic total energy = -10.86 eV per atom; space group = Cmcm, No. 63; energy relative to the elements = 0.0848 eV per atom
1.0
-1.922 4.880 3.116
-0.945 -5.978 -0.766
2.574 -0.764 2.785
Tc Os
2 4
direct
0.916 0.084 0.250 Tc
0.084 0.916 0.750 Tc
0.583 0.417 0.250 Os
0.417 0.583 0.750 Os
0.250 0.750 0.250 Os
0.750 0.250 0.750 Os

No. 4
YMn2Tc PBE relaxed; offset from the most stable computed form = 0.95 eV/f.u.; crystal system = orthorhombic; electronic total energy = -8.36 eV per atom; space group = Cmmm, No. 65; energy relative to the elements = 0.4306 eV per atom
1.0
4.574 0.098 0.000
-0.929 4.480 0.000
0.000 0.000 3.337
Mn Tc Y
2 1 1
direct
0.000 0.000 0.000 Mn
0.500 0.500 0.000 Mn
0.500 0.000 0.500 Tc
0.000 0.500 0.500 Y

No. 5
Ho9Tm4Tl11 PBE relaxed; crystal system = orthorhombic; electronic total energy = -3.79 eV per atom; space group = Cmmm, No. 65; energy relative to the elements = -0.2438 eV per atom
1.0
3.565 0.000 0.000
0.000 12.999 -5.113
0.000 0.407 13.963
Ho Tm Tl
9 4 11
direct
0.500 0.615 0.158 Ho
0.500 0.385 0.842 Ho
0.500 0.158 0.615 Ho
0.500 0.842 0.385 Ho
0.500 0.796 0.982 Ho
0.500 0.204 0.018 Ho
0.500 0.982 0.796 Ho
0.500 0.018 0.204 Ho
0.500 0.500 0.500 Ho
0.500 0.584 0.747 Tm
0.500 0.416 0.253 Tm
0.500 0.747 0.584 Tm
0.500 0.253 0.416 Tm
0.000 0.590 0.948 Tl
0.000 0.410 0.052 Tl
0.000 0.948 0.590 Tl
0.000 0.052 0.410 Tl
0.000 0.623 0.377 Tl
0.000 0.377 0.623 Tl
0.000 0.815 0.185 Tl
0.000 0.185 0.815 Tl
0.000 0.000 0.000 Tl
0.000 0.784 0.784 Tl
0.000 0.216 0.216 Tl

No. 6
TaP PBE relaxed; crystal system = monoclinic; electronic total energy = -9.26 eV per atom; space group = C2/m, No. 12; energy relative to the elements = -0.6247 eV per atom
1.0
3.727 -2.512 1.565
4.688 -0.450 -0.681
1.621 2.668 3.144
Ta P
2 2
direct
0.611 0.611 0.202 Ta
0.389 0.389 0.798 Ta
0.115 0.115 0.694 P
0.885 0.885 0.306 P

No. 7
Th6As2IrSe3 PBE relaxed; crystal system = monoclinic; electronic total energy = -7.51 eV per atom; space group = C2/m, No. 12; raw formation energy = -1.415 eV/atom
1.0
4.166 0.000 0.000
0.000 8.603 0.348
-2.083 -2.434 8.926
Th As Ir Se
6 2 1 3
direct
0.338 0.915 0.676 Th
0.669 0.580 0.338 Th
0.662 0.085 0.324 Th
0.001 0.228 0.002 Th
0.999 0.772 0.998 Th
0.331 0.420 0.662 Th
0.834 0.665 0.667 As
0.166 0.335 0.333 As
0.500 0.000 0.000 Ir
0.500 0.500 0.000 Se
0.831 0.167 0.663 Se
0.169 0.833 0.337 Se

No. 8
HSeBr2 PBE relaxed; offset from the most stable computed form = 0.51 eV/f.u.; crystal system = triclinic; electronic total energy = -2.57 eV per atom; space group = P1, No. 1
1.0
-1.125 4.620 -0.735
-1.261 1.689 4.505
5.126 3.589 0.528
H Se Br
1 1 2
direct
0.349 0.134 0.013 H
0.440 0.369 0.865 Se
0.885 0.031 0.608 Br
0.266 0.678 0.213 Br

No. 9
MgSiSeBr2 PBE relaxed; offset from the most stable computed form = 0.31 eV/f.u.; crystal system = tetragonal; electronic total energy = -2.87 eV per atom; space group = P4/mmm, No. 123; raw formation energy = -0.100 eV/atom
1.0
-1.382 -3.790 2.939
4.624 -0.240 1.864
-1.384 3.520 3.888
Mg Si Se Br
1 1 1 2
direct
0.000 0.000 0.000 Mg
0.500 0.500 0.500 Si
0.000 0.000 0.500 Se
0.000 0.500 0.000 Br
0.500 0.000 0.000 Br

No. 10
NdErPd PBE relaxed; offset from the most stable computed form = 0.00 eV/f.u.; crystal system = tetragonal; electronic total energy = -5.36 eV per atom; space group = I4mm, No. 107; energy relative to the elements = -0.5227 eV per atom
1.0
-0.468 -0.093 -3.553
-3.549 -0.182 0.472
1.675 6.311 1.422
Nd Pd Er
1 1 1
direct
0.022 0.022 0.044 Nd
0.680 0.680 0.359 Pd
0.298 0.298 0.597 Er

| no. | total magnetization (μB/atom) |
| --- | --- |
| 1 | 0.00 |
| 2 | 0.94 |
| 3 | 0.00 |
| 4 | 1.63 |
| 5 | 0.00 |
| 6 | 0.00 |
| 7 | 0.00 |
| 8 | 0.00 |
| 9 | 0.00 |
| 10 | 0.00 |